The following is a DFT calculation (PBE) of a relaxed structure of YTm3Cd4.

Results
The calculation puts the energy relative to the elements at -31.1 kJ/mol of atoms.

abc: 5.223 7.481 10.447
angles: 90.00 90.00 90.00
Sites, in units of the cell vectors:
Y 0.000 0.500 0.500
Tm 0.500 0.500 0.250
Cd 0.000 0.754 0.250
Tm 0.000 0.000 0.500
Cd 0.000 0.754 0.750
Cd 0.500 0.246 0.500
Tm 0.000 0.000 0.000
Cd 0.500 0.754 0.500
Y 0.000 0.500 0.000
Cd 0.000 0.246 0.250
Cd 0.500 0.246 0.000
Tm 0.500 0.000 0.750
Tm 0.500 0.500 0.750
Cd 0.000 0.246 0.750
Cd 0.500 0.754 0.000
Tm 0.500 0.000 0.250